[1]
# Cd3AsO6

A geometry-optimized Cd3AsO6 structure (PBE, the Alexandria database).

Properties
As for the space group: R-3. As for the total energy: -4.74 eV/atom. The calculation puts the density of states at the Fermi level at 0.6318 states/eV per atom. The total magnetization is 2.064 μB/cell. For the mass density, the calculation gives 6.33 g cm⁻³.

a = 6.438 Å, b = 6.438 Å, c = 6.438 Å
α = 90.49°, β = 90.49°, γ = 90.49°
Sites, in units of the cell vectors:
Cd: 0.446 0.931 0.752
Cd: 0.931 0.752 0.446
Cd: 0.248 0.554 0.069
Cd: 0.752 0.446 0.931
Cd: 0.069 0.248 0.554
Cd: 0.554 0.069 0.248
As: 0.000 0.000 0.000
As: 0.500 0.500 0.500
O: 0.278 0.938 0.062
O: 0.062 0.938 0.722
O: 0.568 0.780 0.456
O: 0.938 0.722 0.062
O: 0.456 0.568 0.780
O: 0.220 0.544 0.432
O: 0.780 0.456 0.568
O: 0.544 0.432 0.220
O: 0.062 0.278 0.938
O: 0.432 0.220 0.544
O: 0.938 0.062 0.278
O: 0.722 0.062 0.938


[2]
# Cd2AsO

A geometry-optimized Cd2AsO structure (PBE, the Alexandria database).

Properties
As for the space group: R-3m. As for the total energy: -2.93 eV/atom. The calculation puts the density of states at the Fermi level at 0.5520 states/eV per atom. The total magnetization is 0.000 μB/cell. For the mass density, the calculation gives 5.36 g cm⁻³.

a = 3.932 Å, b = 3.932 Å, c = 7.654 Å
α = 75.12°, β = 75.12°, γ = 60.00°
Sites, in units of the cell vectors:
As: 0.500 0.500 0.500
O: 0.000 0.000 0.000
Cd: 0.092 0.092 0.725
Cd: 0.908 0.908 0.275


[3]
# CdAsO3

A geometry-optimized CdAsO3 structure (PBE, the Alexandria database).

Properties
As for the space group: Pm-3m. As for the total energy: -3.74 eV/atom. The calculation puts the density of states at the Fermi level at 0.4700 states/eV per atom. The total magnetization is 0.000 μB/cell. For the mass density, the calculation gives 5.80 g cm⁻³.

a = 4.069 Å, b = 4.069 Å, c = 4.069 Å
α = 90.00°, β = 90.00°, γ = 90.00°
Sites, in units of the cell vectors:
As: 0.500 0.500 0.500
O: 0.000 0.500 0.000
O: 0.000 0.000 0.500
O: 0.500 0.000 0.000
Cd: 0.000 0.000 0.000


[4]
# Cd2AsO5

A geometry-optimized Cd2AsO5 structure (PBE, the Alexandria database).

Properties
As for the space group: Cmcm. As for the total energy: -4.83 eV/atom. The calculation puts the density of states at the Fermi level at 0.5056 states/eV per atom. The total magnetization is 2.065 μB/cell. For the mass density, the calculation gives 5.58 g cm⁻³.

a = 3.994 Å, b = 5.898 Å, c = 10.197 Å
α = 90.00°, β = 90.00°, γ = 109.79°
Sites, in units of the cell vectors:
Cd: 0.859 0.718 0.422
Cd: 0.859 0.718 0.078
Cd: 0.141 0.282 0.578
Cd: 0.141 0.282 0.922
As: 0.833 0.666 0.750
As: 0.167 0.334 0.250
O: 0.945 0.889 0.877
O: 0.945 0.889 0.623
O: 0.283 0.566 0.382
O: 0.283 0.566 0.118
O: 0.698 0.395 0.250
O: 0.302 0.605 0.750
O: 0.717 0.434 0.618
O: 0.717 0.434 0.882
O: 0.055 0.111 0.123
O: 0.055 0.111 0.377


[5]
# CdAsO3

A geometry-optimized CdAsO3 structure (PBE, the Alexandria database).

Properties
As for the space group: Ama2. As for the total energy: -5.22 eV/atom. The calculation puts the density of states at the Fermi level at 0.1603 states/eV per atom. The total magnetization is 0.000 μB/cell. For the mass density, the calculation gives 4.60 g cm⁻³.

a = 9.353 Å, b = 9.353 Å, c = 3.555 Å
α = 90.00°, β = 90.00°, γ = 146.88°
Sites, in units of the cell vectors:
Cd: 0.381 0.004 0.750
Cd: 0.004 0.381 0.250
As: 0.543 0.768 0.750
As: 0.768 0.543 0.250
O: 0.111 0.821 0.250
O: 0.506 0.670 0.250
O: 0.677 0.278 0.250
O: 0.670 0.506 0.750
O: 0.821 0.111 0.750
O: 0.278 0.677 0.750


[6]
# Cd2AsO

A geometry-optimized Cd2AsO structure (PBE, the Alexandria database).

Properties
As for the space group: Pna2_1. As for the total energy: -3.30 eV/atom. The calculation puts the density of states at the Fermi level at 0.3364 states/eV per atom. The total magnetization is 0.000 μB/cell. For the mass density, the calculation gives 6.44 g cm⁻³.

a = 7.039 Å, b = 5.823 Å, c = 7.950 Å
α = 90.00°, β = 90.00°, γ = 90.00°
Sites, in units of the cell vectors:
Cd: 0.207 0.446 0.945
Cd: 0.707 0.554 0.055
Cd: 0.707 0.054 0.445
Cd: 0.207 0.946 0.555
Cd: 0.583 0.037 0.890
Cd: 0.083 0.963 0.110
Cd: 0.083 0.463 0.390
Cd: 0.583 0.537 0.610
As: 0.960 0.088 0.799
As: 0.460 0.912 0.201
As: 0.460 0.412 0.299
As: 0.960 0.588 0.701
O: 0.000 0.087 0.366
O: 0.500 0.913 0.634
O: 0.500 0.413 0.866
O: 0.000 0.587 0.134


[7]
# CdAsO3

A geometry-optimized CdAsO3 structure (PBE, the Alexandria database).

Properties
As for the space group: Pm-3m. As for the total energy: -4.89 eV/atom. The calculation puts the density of states at the Fermi level at 0.1532 states/eV per atom. The total magnetization is 0.000 μB/cell. For the mass density, the calculation gives 6.90 g cm⁻³.

a = 3.840 Å, b = 3.840 Å, c = 3.840 Å
α = 90.00°, β = 90.00°, γ = 90.00°
Sites, in units of the cell vectors:
As: 0.000 0.000 0.000
O: 0.000 0.500 0.000
O: 0.000 0.000 0.500
O: 0.500 0.000 0.000
Cd: 0.500 0.500 0.500


[8]
# CdAs3O

A geometry-optimized CdAs3O structure (PBE, the Alexandria database).

Properties
As for the space group: Pm-3m. As for the total energy: -2.43 eV/atom. The calculation puts the density of states at the Fermi level at 4.1038 states/eV per atom. The total magnetization is 0.000 μB/cell. For the mass density, the calculation gives 4.36 g cm⁻³.

a = 5.124 Å, b = 5.124 Å, c = 5.124 Å
α = 90.00°, β = 90.00°, γ = 90.00°
Sites, in units of the cell vectors:
As: 0.000 0.500 0.000
As: 0.000 0.000 0.500
As: 0.500 0.000 0.000
O: 0.500 0.500 0.500
Cd: 0.000 0.000 0.000